1.
## Mg2GeRu (PBE-GGA)

Data for a relaxed structure of Mg2GeRu.

Values from the calculation:
Energy, eV/atom: -4.344
Space-group type: P4/mmm (123)
Formation enthalpy at 0 K, eV per atom: -0.073
M_tot, μB/cell: 0.00
Crystal system: tetragonal

a = 3.995 Å, b = 4.014 Å, c = 4.014 Å
α = 90.00°, β = 90.00°, γ = 90.00°
Atoms (fractional coordinates):
Ge  0.500  0.500  0.500
Mg  0.000  0.500  0.000
Mg  0.000  0.000  0.500
Ru  0.500  0.000  0.000



2.
## InSnOs2 (PBE-GGA)

Data for a relaxed structure of InSnOs2.

Values from the calculation:
Energy, eV/atom: -6.819
Space-group type: Fm-3m (225)
Formation enthalpy at 0 K, eV per atom: 0.482
Energy relative to the lowest polymorph listed for this composition, eV/atom: 0.000
M_tot, μB/cell: 0.00
Crystal system: cubic

a = 4.585 Å, b = 4.585 Å, c = 4.585 Å
α = 60.00°, β = 60.00°, γ = 60.00°
Atoms (fractional coordinates):
Os  0.250  0.250  0.250
Os  0.750  0.750  0.750
In  0.000  0.000  0.000
Sn  0.500  0.500  0.500



3.
## TaNb2Fe (PBE-GGA)

Data for a relaxed structure of TaNb2Fe.

Values from the calculation:
Energy, eV/atom: -10.136
Space-group type: P4/mmm (123)
Formation enthalpy at 0 K, eV per atom: -0.022
Energy relative to the lowest polymorph listed for this composition, eV/atom: 0.015
M_tot, μB/cell: 0.60
Crystal system: tetragonal

a = 3.207 Å, b = 3.207 Å, c = 6.410 Å
α = 90.00°, β = 90.00°, γ = 90.00°
Atoms (fractional coordinates):
Fe  0.500  0.500  0.000
Nb  0.000  0.000  0.765
Nb  0.000  0.000  0.235
Ta  0.500  0.500  0.500



4.
## GdThHg2 (PBE-GGA)

Data for a relaxed structure of GdThHg2.

Values from the calculation:
Energy, eV/atom: -5.877
Space-group type: P4/mmm (123)
Formation enthalpy at 0 K, eV per atom: -0.351
Energy relative to the lowest polymorph listed for this composition, eV/atom: 0.000
M_tot, μB/cell: 7.90
Crystal system: tetragonal

a = 3.728 Å, b = 3.728 Å, c = 7.832 Å
α = 90.00°, β = 90.00°, γ = 90.00°
Atoms (fractional coordinates):
Hg  0.000  0.000  0.763
Hg  0.000  0.000  0.237
Th  0.500  0.500  0.500
Gd  0.500  0.500  0.000



5.
## CuTc2Os (PBE-GGA)

Data for a relaxed structure of CuTc2Os.

Values from the calculation:
Energy, eV/atom: -8.785
Space-group type: Cmmm (65)
Formation enthalpy at 0 K, eV per atom: 0.229
Energy relative to the lowest polymorph listed for this composition, eV/atom: 0.072
M_tot, μB/cell: 0.00
Crystal system: orthorhombic

a = 5.984 Å, b = 4.688 Å, c = 2.724 Å
α = 90.05°, β = 62.83°, γ = 120.37°
Atoms (fractional coordinates):
Tc  0.500  0.000  0.500
Tc  0.000  0.000  0.000
Cu  0.000  0.500  0.500
Os  0.500  0.500  0.000



6.
## SrInPd2 (PBE-GGA)

Data for a relaxed structure of SrInPd2.

Values from the calculation:
Energy, eV/atom: -4.199
Space-group type: P4/mmm (123)
Formation enthalpy at 0 K, eV per atom: -0.498
M_tot, μB/cell: 0.00
Crystal system: tetragonal

a = 3.522 Å, b = 3.522 Å, c = 7.016 Å
α = 90.00°, β = 90.00°, γ = 90.00°
Atoms (fractional coordinates):
Sr  0.500  0.500  0.500
Pd  0.000  0.000  0.797
Pd  0.000  0.000  0.203
In  0.500  0.500  0.000



7.
## TbAlGeO5 (PBE-GGA)

Data for a relaxed structure of TbAlGeO5.

Values from the calculation:
Raw formation energy, eV per atom: -2.6919
Energy, eV/atom: -7.415
Space-group type: C2/c (15)
M_tot, μB/cell: 0.00
Crystal system: monoclinic

a = 5.501 Å, b = 5.501 Å, c = 6.905 Å
α = 103.24°, β = 103.24°, γ = 106.23°
Atoms (fractional coordinates):
Tb  0.320  0.680  0.250
Tb  0.680  0.320  0.750
Ge  0.676  0.324  0.250
Ge  0.324  0.676  0.750
O  0.101  0.684  0.898
O  0.684  0.101  0.398
O  0.636  0.740  0.931
O  0.316  0.899  0.602
O  0.740  0.636  0.431
O  0.899  0.316  0.102
O  0.260  0.364  0.569
O  0.071  0.929  0.250
O  0.364  0.260  0.069
O  0.929  0.071  0.750
Al  0.000  0.000  0.500
Al  0.000  0.000  0.000



8.
## Ac2Cu2GePd6 (PBE-GGA)

Data for a relaxed structure of Ac2Cu2GePd6.

Values from the calculation:
Energy, eV/atom: -5.118
Space-group type: R-3m (166)
Formation enthalpy at 0 K, eV per atom: -0.374
M_tot, μB/cell: 0.00
Crystal system: trigonal

a = 6.901 Å, b = 6.901 Å, c = 6.967 Å
α = 60.31°, β = 60.31°, γ = 60.00°
Atoms (fractional coordinates):
Ac  0.263  0.263  0.212
Ac  0.737  0.737  0.788
Pd  0.846  0.247  0.659
Pd  0.247  0.247  0.659
Pd  0.753  0.753  0.341
Pd  0.753  0.154  0.341
Pd  0.247  0.846  0.659
Pd  0.154  0.753  0.341
Cu  0.568  0.568  0.295
Cu  0.432  0.432  0.705
Ge  0.000  0.000  0.000